VASP calculation (PBE) on crystalline Pm2Sm5YTm at its relaxed geometry.

Computed properties:
* E_tot: -83.04 eV for the cell shown
* energy of formation: 0.28 eV per atom
* magnetization: 0.000 μB/f.u.
* space-group type: I4/mcm

Lattice parameters (Å, degrees): 10.189 10.189 10.189 129.89 129.89 73.58
Fractional positions:
Pm: 0.120 0.620 0.740
Pm: 0.380 0.120 0.500
Pm: 0.620 0.880 0.500
Pm: 0.880 0.380 0.260
Sm: 0.000 0.000 0.000
Sm: 0.073 0.143 0.500
Sm: 0.143 0.643 0.070
Sm: 0.357 0.427 0.500
Sm: 0.427 0.927 0.070
Sm: 0.500 0.500 0.000
Sm: 0.573 0.073 0.930
Sm: 0.643 0.573 0.500
Sm: 0.857 0.357 0.930
Sm: 0.927 0.857 0.500
Y: 0.250 0.250 0.000
Y: 0.750 0.750 0.000
Tm: 0.250 0.750 0.500
Tm: 0.750 0.250 0.500